DFT (SCAN) results for a PBEsol-optimized structure of ZnAu5.

Calculated values
Magnetization = 0.00 μB per formula unit
Symmetry = Amm2, No. 38
Density = 17.6 Mg/m³
DFT formation energy = -0.081 eV/atom
Uncorrected energy = -59.96 eV/atom

```
ZnAu5
1.0
-2.046 2.170 0.165
-2.295 -2.412 3.247
4.839 2.126 4.999
Zn Au
1 5
direct
0.884 0.500 0.769 Zn
0.003 0.000 0.006 Au
0.671 0.000 0.341 Au
0.339 0.000 0.678 Au
0.545 0.500 0.090 Au
0.225 0.500 0.449 Au
```

DFT (SCAN) results for a PBEsol-optimized structure of ZnAu.

Calculated values
Magnetization = 0.00 μB per formula unit
Symmetry = I4_1/amd, No. 141
Density = 14.3 Mg/m³
DFT formation energy = -0.258 eV/atom
Uncorrected energy = -41.59 eV/atom

```
ZnAu
1.0
3.803 0.000 0.000
0.000 3.799 0.000
-1.902 -1.900 4.228
Zn Au
2 2
direct
0.875 0.625 0.750 Zn
0.125 0.375 0.250 Zn
0.375 0.125 0.750 Au
0.625 0.875 0.250 Au
```

DFT (SCAN) results for a PBEsol-optimized structure of Zn5Au.

Calculated values
Magnetization = 0.00 μB per formula unit
Symmetry = Cmmm, No. 65
Density = 10.1 Mg/m³
DFT formation energy = -0.093 eV/atom
Uncorrected energy = -22.88 eV/atom

```
Zn5Au
1.0
3.768 0.000 0.000
0.000 3.898 0.000
0.000 1.949 5.874
Zn Au
5 1
direct
0.500 0.327 0.345 Zn
0.000 0.168 0.665 Zn
0.500 0.000 0.000 Zn
0.000 0.832 0.335 Zn
0.500 0.673 0.655 Zn
0.000 0.500 0.000 Au
```

DFT (SCAN) results for a PBEsol-optimized structure of Zn5Au.

Calculated values
Magnetization = 0.00 μB per formula unit
Symmetry = P4/mmm, No. 123
Density = 10.0 Mg/m³
DFT formation energy = -0.030 eV/atom
Uncorrected energy = -22.82 eV/atom

```
Zn5Au
1.0
2.814 0.000 0.000
0.000 2.814 0.000
0.000 0.000 10.996
Zn Au
5 1
direct
0.000 0.000 0.675 Zn
0.500 0.500 0.836 Zn
0.000 0.000 0.000 Zn
0.500 0.500 0.164 Zn
0.000 0.000 0.325 Zn
0.500 0.500 0.500 Au
```

Calculated density of states at the Fermi level, 1.591 0.749 1.443 1.934 states/eV/cell (same order as the records).